No. 1
{"formula": "KIn2Hg4Pb", "functional": "PBE", "state": "optimized geometry", "cell": [[5.578, 0.000, 0.000], [2.789, 4.831, 0.000], [2.789, 1.610, 8.538]], "species": ["K", "In", "In", "Hg", "Hg", "Hg", "Hg", "Pb"], "fractional_positions": [[0.000, 0.000, 0.000], [0.751, 0.751, 0.747], [0.249, 0.249, 0.253], [0.378, 0.378, 0.867], [0.869, 0.869, 0.393], [0.131, 0.131, 0.607], [0.622, 0.622, 0.133], [0.500, 0.500, 0.500]], "e_tot_ev_per_atom": -1.50, "delta_e_f_ev_per_fu": -0.52, "magnetic_moment_mub_per_fu": 0.00}

No. 2
{"formula": "K2In3Hg12Pb", "functional": "PBE", "state": "optimized geometry", "cell": [[13.416, 3.842, 2.725], [9.966, 9.769, 2.725], [9.966, 5.801, 8.319]], "species": ["K", "K", "In", "In", "In", "Hg", "Hg", "Hg", "Hg", "Hg", "Hg", "Hg", "Hg", "Hg", "Hg", "Hg", "Hg", "Pb"], "fractional_positions": [[0.641, 0.641, 0.641], [0.359, 0.359, 0.359], [0.500, 0.000, 0.000], [0.000, 0.500, 0.000], [0.000, 0.000, 0.500], [0.405, 0.405, 0.853], [0.882, 0.882, 0.407], [0.407, 0.882, 0.882], [0.853, 0.405, 0.405], [0.882, 0.407, 0.882], [0.405, 0.853, 0.405], [0.595, 0.595, 0.147], [0.118, 0.118, 0.593], [0.593, 0.118, 0.118], [0.147, 0.595, 0.595], [0.118, 0.593, 0.118], [0.595, 0.147, 0.595], [0.000, 0.000, 0.000]], "e_tot_ev_per_atom": -1.04, "delta_e_f_ev_per_fu": -1.04, "magnetic_moment_mub_per_fu": 0.00}